## Ac2InAu9 (GGA-PBE)

Data for a relaxed Ac2InAu9 crystal.

a = 5.8653 Å, b = 5.8653 Å, c = 9.8263 Å
α = 72.64°, β = 72.64°, γ = 60.00°
With the nearest neighbours (Å) after each atom.
Atoms (fractional coordinates):
Au (0.0784, 0.5864, 0.7489)  7 Au 2.86-2.98
Au (0.6665, 0.6665, 0.0005)  6 Au 2.86-2.88
Au (0.4136, 0.9216, 0.2511)  7 Au 2.86-2.98
Au (0.4136, 0.4136, 0.2511)  7 Au 2.86-2.98
Au (0.5864, 0.5864, 0.7489)  7 Au 2.86-2.98
Au (0.9216, 0.4136, 0.2511)  7 Au 2.86-2.98
Au (0.5000, 0.5000, 0.5000)  6 Au 2.87
Au (0.3335, 0.3335, 0.9995)  6 Au 2.86-2.88
Au (0.5864, 0.0784, 0.7489)  7 Au 2.86-2.98
Ac (0.8649, 0.8649, 0.4054)  12 Au 3.26-3.58
Ac (0.1351, 0.1351, 0.5946)  12 Au 3.26-3.58
In (0.0000, 0.0000, 0.0000)  18 Au 3.39-3.74, 2 Ac 3.74

Computed properties:
The calculation puts the density of states at the Fermi level at 0.49 states/eV/atom. The value obtained for the spin magnetization is 0.0 μB/f.u. Its final energy is -0.13692 hartree per atom. The formation energy from the elements comes out at -0.355 eV per atom.